[1]
## NiBiBr3 (PBE)

Data for a geometry-optimized NiBiBr3 structure.

- Raw formation energy: 396 meV/atom

Lattice parameters (Å, degrees): 5.7681 5.7681 5.7681 90.00 90.00 90.00
Closest atoms and distances in Å follow each position.
Space group Pm-3m (No. 221)
Unique sites:
Ni1 0.0000 0.0000 0.0000 x1  12 Br 4.08
Bi1 0.5000 0.5000 0.5000 x1  6 Br 2.88
Br1 0.0000 0.5000 0.5000 x3  2 Bi 2.88


[2]
## HfZrSc4 (PBE)

Data for a geometry-optimized HfZrSc4 structure.

- Total energy: -7.29 eV/atom

Lattice parameters (Å, degrees): 6.4457 17.6283 5.9893 90.00 122.51 90.00
Closest atoms and distances in Å follow each position.
Space group C2/c (No. 15)
Unique sites:
Hf1 0.0000 0.2211 0.2500 x4  6 Sc 3.02-3.38, 2 Hf 3.17, 4 Zr 3.17-3.22
Zr1 0.0000 0.2802 0.7500 x4  6 Sc 3.03-3.36, 4 Hf 3.17-3.22, 2 Zr 3.18
Sc1 0.2488 0.1255 0.7473 x8  2 Hf 3.02-3.15, 2 Zr 3.03-3.17, 7 Sc 3.14-3.27
Sc2 0.2495 0.4473 0.7491 x8  7 Sc 3.14-3.27, 1 Zr 3.36, 1 Hf 3.38


[3]
## CaMgCu2 (PBE)

Data for a geometry-optimized CaMgCu2 structure.

- Total energy: -2.92 eV/atom

Lattice parameters (Å, degrees): 6.6811 8.5154 5.5933 90.00 90.00 90.00
Closest atoms and distances in Å follow each position.
Space group Cmcm (No. 63)
Unique sites:
Ca1 0.0000 0.1175 0.2500 x4  4 Cu 2.69-2.89
Mg1 0.0000 0.5000 0.0000 x4  2 Mg 2.80, 4 Cu 3.04
Cu1 0.1793 0.1918 0.7500 x8  1 Cu 2.40


[4]
## SiSb2TePb (PBE)

Data for a geometry-optimized SiSb2TePb structure.

- Raw formation energy: 1223 meV/atom

Lattice parameters (Å, degrees): 5.7585 5.7585 5.7603 90.00 90.00 90.00
Closest atoms and distances in Å follow each position.
Space group P4/mmm (No. 123)
Unique sites:
Si1 0.0000 0.0000 0.0000 x1  4 Te 4.07, 8 Sb 4.07
Sb1 0.0000 0.5000 0.5000 x2  2 Pb 2.88
Te1 0.5000 0.5000 0.0000 x1  2 Pb 2.88
Pb1 0.5000 0.5000 0.5000 x1  4 Sb 2.88, 2 Te 2.88